First-principles (PBE-GGA) data for an optimized crystal structure of CaMnW2, as listed in Alexandria.

Properties
energy above the lowest structure with this stoichiometry = 157 meV per atom
total magnetization = 12.51 Bohr magnetons per cell
calculated total energy = -8.516 eV/atom
D(E_F) = 9.481 states/eV per cell

The structure in CIF format:
```
data_CaMnW2
_chemical_formula_sum 'Ca4 Mn4 W8'
_space_group_name_H-M_alt 'F -4 3 m'
_space_group_IT_number 216
_space_group_name_Hall 'F -4 2 3'
_cell_length_a 6.545
_cell_length_b 6.545
_cell_length_c 6.545
_cell_angle_alpha 90.00
_cell_angle_beta 90.00
_cell_angle_gamma 90.00
loop_
_atom_site_label
_atom_site_type_symbol
_atom_site_fract_x
_atom_site_fract_y
_atom_site_fract_z
Ca1 Ca 0.000 0.000 0.000
Mn1 Mn 0.250 0.250 0.250
W1 W 0.000 0.000 0.500
W2 W 0.250 0.250 0.750
```

First-principles (PBE-GGA) data for an optimized crystal structure of Ca2MnW, as listed in Alexandria.

Properties
energy above the lowest structure with this stoichiometry = 505 meV per atom
total magnetization = 3.11 Bohr magnetons per cell
calculated total energy = -5.601 eV/atom
D(E_F) = 19.402 states/eV per cell

The structure in CIF format:
```
data_Ca2MnW
_chemical_formula_sum 'Ca8 Mn4 W4'
_space_group_name_H-M_alt 'F -4 3 m'
_space_group_IT_number 216
_space_group_name_Hall 'F -4 2 3'
_cell_length_a 7.007
_cell_length_b 7.007
_cell_length_c 7.007
_cell_angle_alpha 90.00
_cell_angle_beta 90.00
_cell_angle_gamma 90.00
loop_
_atom_site_label
_atom_site_type_symbol
_atom_site_fract_x
_atom_site_fract_y
_atom_site_fract_z
Ca1 Ca 0.000 0.000 0.000
Ca2 Ca 0.250 0.250 0.250
Mn1 Mn 0.250 0.250 0.750
W1 W 0.000 0.000 0.500
```

First-principles (PBE-GGA) data for an optimized crystal structure of Ca2MnW, as listed in Alexandria.

Properties
energy above the lowest structure with this stoichiometry = 186 meV per atom
total magnetization = 1.57 Bohr magnetons per cell
calculated total energy = -5.920 eV/atom
D(E_F) = 10.105 states/eV per cell

The structure in CIF format:
```
data_Ca2MnW
_chemical_formula_sum 'Ca4 Mn2 W2'
_space_group_name_H-M_alt 'I m m m'
_space_group_IT_number 71
_space_group_name_Hall '-I 2 2'
_cell_length_a 3.212
_cell_length_b 3.693
_cell_length_c 17.117
_cell_angle_alpha 90.00
_cell_angle_beta 90.00
_cell_angle_gamma 90.00
loop_
_atom_site_label
_atom_site_type_symbol
_atom_site_fract_x
_atom_site_fract_y
_atom_site_fract_z
Ca1 Ca 0.000 0.000 0.153
Mn1 Mn 0.000 0.500 0.500
W1 W 0.000 0.500 0.000
```

First-principles (PBE-GGA) data for an optimized crystal structure of CaMnW, as listed in Alexandria.

Properties
energy above the lowest structure with this stoichiometry = 0 meV per atom
total magnetization = 3.25 Bohr magnetons per cell
calculated total energy = -7.511 eV/atom
D(E_F) = 5.302 states/eV per cell

The structure in CIF format:
```
data_CaMnW
_chemical_formula_sum 'Ca2 Mn2 W2'
_space_group_name_H-M_alt 'I 4 m m'
_space_group_IT_number 107
_space_group_name_Hall 'I 4 -2'
_cell_length_a 3.208
_cell_length_b 3.208
_cell_length_c 11.512
_cell_angle_alpha 90.00
_cell_angle_beta 90.00
_cell_angle_gamma 90.00
loop_
_atom_site_label
_atom_site_type_symbol
_atom_site_fract_x
_atom_site_fract_y
_atom_site_fract_z
Ca1 Ca 0.000 0.000 0.000
Mn1 Mn 0.000 0.000 0.706
W1 W 0.000 0.000 0.289
```

First-principles (PBE-GGA) data for an optimized crystal structure of CaMnW2, as listed in Alexandria.

Properties
energy above the lowest structure with this stoichiometry = 288 meV per atom
total magnetization = 3.49 Bohr magnetons per cell
calculated total energy = -8.385 eV/atom
D(E_F) = 4.430 states/eV per cell

The structure in CIF format:
```
data_CaMnW2
_chemical_formula_sum 'Ca1 Mn1 W2'
_space_group_name_H-M_alt 'P 4/m m m'
_space_group_IT_number 123
_space_group_name_Hall '-P 4 2'
_cell_length_a 3.855
_cell_length_b 3.855
_cell_length_c 4.859
_cell_angle_alpha 90.00
_cell_angle_beta 90.00
_cell_angle_gamma 90.00
loop_
_atom_site_label
_atom_site_type_symbol
_atom_site_fract_x
_atom_site_fract_y
_atom_site_fract_z
Ca1 Ca 0.000 0.000 0.000
Mn1 Mn 0.500 0.500 0.000
W1 W 0.000 0.500 0.500
```

First-principles (PBE-GGA) data for an optimized crystal structure of Ca2MnW, as listed in Alexandria.

Properties
energy above the lowest structure with this stoichiometry = 554 meV per atom
total magnetization = 12.63 Bohr magnetons per cell
calculated total energy = -5.552 eV/atom
D(E_F) = 15.769 states/eV per cell

The structure in CIF format:
```
data_Ca2MnW
_chemical_formula_sum 'Ca6 Mn3 W3'
_space_group_name_H-M_alt 'R -3 m'
_space_group_IT_number 166
_space_group_name_Hall '-R 3 2"'
_cell_length_a 3.1220
_cell_length_b 3.1220
_cell_length_c 31.8437
_cell_angle_alpha 90.00
_cell_angle_beta 90.00
_cell_angle_gamma 120.00
loop_
_atom_site_label
_atom_site_type_symbol
_atom_site_fract_x
_atom_site_fract_y
_atom_site_fract_z
Ca1 Ca 0.0000 0.0000 0.2477
Mn1 Mn 0.0000 0.0000 0.0000
W1 W 0.0000 0.0000 0.5000
```